GePPtRh2 | Alexandria via LeMat-Bulk | PBE | relaxed; energy of formation = 0.7988 eV/atom; total DFT energy (no corrections) = -26.8 eV per cell; D(E_F) = 5.79 states/eV per cell
1.0
-0.2373 3.3951 3.0190
-4.1111 -1.5215 1.3879
2.0238 -2.6276 3.1140
P Ge Rh Pt
1 1 2 1
Direct
0.5000 0.5000 0.5000
0.0000 0.0000 0.0000
0.0000 0.0000 0.5000
0.5000 0.0000 0.0000
0.0000 0.5000 0.0000

GeP2PtS | Alexandria via LeMat-Bulk | PBE | relaxed; energy above the most stable polymorph in this dataset = 0.0 kJ/mol of formula units; raw formation energy = 0.70 eV per atom; total DFT energy (no corrections) = -22.1 eV per cell; D(E_F) = 3.80 states/eV per cell
1.0
4.5841 0.0000 0.0000
0.0000 4.5841 0.0000
0.0000 0.0000 5.1073
P Ge S Pt
2 1 1 1
Direct
0.0000 0.5000 0.0000
0.5000 0.0000 0.0000
0.5000 0.5000 0.5000
0.0000 0.0000 0.5000
0.0000 0.0000 0.0000

GeP2PtS | Alexandria via LeMat-Bulk | PBE | relaxed; energy above the most stable polymorph in this dataset = 101.3 kJ/mol of formula units; raw formation energy = 0.91 eV per atom; total DFT energy (no corrections) = -21.1 eV per cell; D(E_F) = 1.06 states/eV per cell
1.0
4.4099 0.0000 0.0000
0.0000 4.6737 0.0000
0.0000 0.0000 4.4099
P Ge S Pt
2 1 1 1
Direct
0.0000 0.0000 0.5000
0.5000 0.0000 0.0000
0.0000 0.5000 0.0000
0.0000 0.0000 0.0000
0.5000 0.5000 0.5000

Ge2SbPPt | Alexandria via LeMat-Bulk | PBE | relaxed; raw formation energy = 0.37 eV per atom; total DFT energy (no corrections) = -23.0 eV per cell; D(E_F) = 3.62 states/eV per cell
1.0
5.1069 0.0000 0.0000
0.0000 4.4768 0.0000
0.0000 0.0000 5.1069
Sb Ge Pt P
1 2 1 1
Direct
0.5000 0.5000 0.5000
0.0000 0.0000 0.5000
0.5000 0.0000 0.0000
0.0000 0.0000 0.0000
0.0000 0.5000 0.0000

Sm2GePPt6 | Alexandria via LeMat-Bulk | PBE | relaxed; energy of formation = -0.9072 eV/atom; total DFT energy (no corrections) = -129.6 eV per cell; D(E_F) = 7.82 states/eV per cell
1.0
-1.9902 -5.1021 -1.0099
6.9305 -1.8498 -4.3122
3.6424 -2.8189 7.0632
Sm Ge P Pt
4 2 2 12
Direct
0.5000 0.7329 0.2561
0.0000 0.2671 0.7561
0.5000 0.7329 0.7439
0.0000 0.2671 0.2439
0.0000 0.7226 0.5000
0.5000 0.2774 0.0000
0.5000 0.2545 0.5000
0.0000 0.7455 0.0000
0.5000 0.1225 0.2548
0.5000 0.1225 0.7452
0.0000 0.8775 0.2452
0.0000 0.8775 0.7548
0.2502 0.9904 0.5000
0.7498 0.9904 0.5000
0.2517 0.4797 0.5000
0.7483 0.4797 0.5000
0.7517 0.5203 0.0000
0.2483 0.5203 0.0000
0.2498 0.0096 0.0000
0.7502 0.0096 0.0000

Sm2Ge3PPt4 | Alexandria via LeMat-Bulk | PBE | relaxed; energy of formation = -0.9144 eV/atom; total DFT energy (no corrections) = -62.0 eV per cell; D(E_F) = 6.61 states/eV per cell
1.0
4.3911 0.0000 0.0000
0.0000 4.3911 0.0000
0.0000 0.0000 9.7779
Sm Ge P Pt
2 3 1 4
Direct
0.5000 0.0000 0.2563
0.0000 0.5000 0.7437
0.0000 0.0000 0.5000
0.5000 0.0000 0.8676
0.0000 0.5000 0.1324
0.5000 0.5000 0.5000
0.5000 0.5000 0.0000
0.0000 0.0000 0.0000
0.5000 0.0000 0.6147
0.0000 0.5000 0.3853

Sm3GeP2Pt9 | Alexandria via LeMat-Bulk | PBE | relaxed; energy of formation = -0.7226 eV/atom; total DFT energy (no corrections) = -94.8 eV per cell; D(E_F) = 5.61 states/eV per cell
1.0
-2.0172 -1.7804 -5.8356
2.1704 -4.4145 4.1346
-7.9294 -1.0353 3.0569
Sm Ge P Pt
3 1 2 9
Direct
0.3333 0.6667 0.6875
0.0000 0.0000 0.0000
0.6667 0.3333 0.3125
0.0000 0.0000 0.5000
0.3333 0.6667 0.1817
0.6667 0.3333 0.8183
0.8527 0.1473 0.7170
0.8527 0.7054 0.7170
0.2946 0.1473 0.7170
0.7054 0.8527 0.2830
0.1473 0.2946 0.2830
0.1473 0.8527 0.2830
0.5000 0.0000 0.0000
0.0000 0.5000 0.0000
0.5000 0.5000 0.0000

Sr2GePPt6 | Alexandria via LeMat-Bulk | PBE | relaxed; energy of formation = -0.7697 eV/atom; total DFT energy (no corrections) = -114.7 eV per cell; D(E_F) = 9.27 states/eV per cell
1.0
-2.9561 3.7842 3.0439
-1.3013 -5.6427 5.7511
7.3289 2.4542 4.0663
Sr Ge P Pt
4 2 2 12
Direct
0.5000 0.7207 0.2633
0.0000 0.2793 0.7633
0.5000 0.7207 0.7367
0.0000 0.2793 0.2367
0.0000 0.7291 0.5000
0.5000 0.2709 0.0000
0.5000 0.2460 0.5000
0.0000 0.7540 0.0000
0.5000 0.1176 0.2528
0.5000 0.1176 0.7472
0.0000 0.8824 0.2472
0.0000 0.8824 0.7528
0.2463 0.9986 0.5000
0.7537 0.9986 0.5000
0.2466 0.4729 0.5000
0.7534 0.4729 0.5000
0.7466 0.5271 0.0000
0.2534 0.5271 0.0000
0.2537 0.0014 0.0000
0.7463 0.0014 0.0000

Sr2Ge3PPt4 | Alexandria via LeMat-Bulk | PBE | relaxed; energy of formation = -0.8056 eV/atom; total DFT energy (no corrections) = -54.8 eV per cell; D(E_F) = 4.16 states/eV per cell
1.0
4.4634 0.0000 0.0000
0.0000 4.4634 0.0000
0.0000 0.0000 9.9606
Sr Ge P Pt
2 3 1 4
Direct
0.5000 0.0000 0.2572
0.0000 0.5000 0.7428
0.0000 0.0000 0.5000
0.5000 0.0000 0.8735
0.0000 0.5000 0.1265
0.5000 0.5000 0.5000
0.5000 0.5000 0.0000
0.0000 0.0000 0.0000
0.5000 0.0000 0.6167
0.0000 0.5000 0.3833

Tb3GeP2Pt9 | Alexandria via LeMat-Bulk | PBE | relaxed; energy of formation = -0.7209 eV/atom; total DFT energy (no corrections) = -94.5 eV per cell; D(E_F) = 5.03 states/eV per cell
1.0
-4.7902 -4.2600 0.2253
6.0817 -2.0229 -0.2546
0.3699 0.0362 8.5491
Tb Ge P Pt
3 1 2 9
Direct
0.3333 0.6667 0.7083
0.0000 0.0000 0.0000
0.6667 0.3333 0.2917
0.0000 0.0000 0.5000
0.3333 0.6667 0.1849
0.6667 0.3333 0.8151
0.8542 0.1458 0.7202
0.8542 0.7084 0.7202
0.2916 0.1458 0.7202
0.7084 0.8542 0.2798
0.1458 0.2916 0.2798
0.1458 0.8542 0.2798
0.5000 0.0000 0.0000
0.0000 0.5000 0.0000
0.5000 0.5000 0.0000

Th4GeP2Pt | Alexandria via LeMat-Bulk | PBE | relaxed; energy of formation = -1.1922 eV/atom; total DFT energy (no corrections) = -60.7 eV per cell; D(E_F) = 4.56 states/eV per cell
1.0
4.1515 0.0000 0.0000
0.0000 7.3490 -0.1764
0.0000 2.5561 6.8240
Th Ge P Pt
4 1 2 1
Direct
0.0000 0.7531 0.7518
0.0000 0.2469 0.2482
0.5000 0.7579 0.2475
0.5000 0.2421 0.7525
0.0000 0.5000 0.5000
0.0000 0.0000 0.0000
0.5000 0.0000 0.5000
0.5000 0.5000 0.0000

Y2GePPt6 | Alexandria via LeMat-Bulk | PBE | relaxed; energy of formation = -0.8900 eV/atom; total DFT energy (no corrections) = -136.2 eV per cell; D(E_F) = 9.12 states/eV per cell
1.0
-4.7644 0.7868 2.7380
0.2648 -7.8481 2.7160
4.3027 2.4888 6.7718
Y Ge P Pt
4 2 2 12
Direct
0.5000 0.7346 0.2575
0.0000 0.2654 0.7575
0.5000 0.7346 0.7425
0.0000 0.2654 0.2425
0.0000 0.7215 0.5000
0.5000 0.2785 0.0000
0.5000 0.2538 0.5000
0.0000 0.7462 0.0000
0.5000 0.1237 0.2548
0.5000 0.1237 0.7452
0.0000 0.8763 0.2452
0.0000 0.8763 0.7548
0.2510 0.9887 0.5000
0.7490 0.9887 0.5000
0.2504 0.4772 0.5000
0.7496 0.4772 0.5000
0.7504 0.5228 0.0000
0.2496 0.5228 0.0000
0.2490 0.0113 0.0000
0.7510 0.0113 0.0000

YGe2PPt | Alexandria via LeMat-Bulk | PBE | relaxed; energy of formation = 1.1505 eV/atom; total DFT energy (no corrections) = -21.4 eV per cell; D(E_F) = 4.65 states/eV per cell
1.0
5.3333 0.0000 0.0000
0.0000 5.0787 0.0000
0.0000 0.0000 5.3333
Y P Ge Pt
1 1 2 1
Direct
0.0000 0.0000 0.0000
0.0000 0.5000 0.0000
0.0000 0.0000 0.5000
0.5000 0.0000 0.0000
0.5000 0.5000 0.5000

PuGeP2 | Alexandria via LeMat-Bulk | PBE | relaxed; energy above the most stable polymorph in this dataset = 128.6 kJ/mol of formula units; energy of formation = -0.1251 eV/atom; total DFT energy (no corrections) = -121.1 eV per cell; D(E_F) = 11.96 states/eV per cell
1.0
3.4005 0.0000 0.0000
0.0000 5.3845 0.0000
0.0000 0.0000 15.4761
Pu Ge P
4 4 8
Direct
0.7500 0.4349 0.5490
0.2500 0.5651 0.4510
0.7500 0.9349 0.9510
0.2500 0.0651 0.0490
0.7500 0.7551 0.1793
0.7500 0.2551 0.3207
0.2500 0.2449 0.8207
0.2500 0.7449 0.6793
0.7500 0.9276 0.5437
0.2500 0.0724 0.4563
0.7500 0.4276 0.9563
0.2500 0.5724 0.0437
0.2500 0.2042 0.6669
0.7500 0.2958 0.1669
0.2500 0.7042 0.8331
0.7500 0.7958 0.3331

Pu2GeP4 | Alexandria via LeMat-Bulk | PBE | relaxed; energy of formation = -0.5326 eV/atom; total DFT energy (no corrections) = -117.3 eV per cell; D(E_F) = 29.97 states/eV per cell
1.0
6.7134 0.0000 0.0586
0.0000 5.3959 0.0000
-2.4033 0.0000 7.6371
Pu Ge P
4 2 8
Direct
0.7604 0.7500 0.0634
0.2396 0.2500 0.9366
0.2352 0.2500 0.4390
0.7648 0.7500 0.5610
0.2485 0.7500 0.1886
0.7515 0.2500 0.8114
0.5309 0.4679 0.2582
0.0825 0.7500 0.8884
0.9175 0.2500 0.1116
0.5309 0.0321 0.2582
0.9229 0.2500 0.5984
0.4691 0.9679 0.7418
0.4691 0.5321 0.7418
0.0771 0.7500 0.4016

Pu3GeP | Alexandria via LeMat-Bulk | PBE | relaxed; energy above the most stable polymorph in this dataset = 0.0 kJ/mol of formula units; energy of formation = -0.5355 eV/atom; total DFT energy (no corrections) = -55.7 eV per cell; D(E_F) = 17.05 states/eV per cell
1.0
-1.3765 -2.8628 -2.7539
-0.4440 -1.6944 5.1918
-5.2874 0.4594 -1.0432
Pu Ge P
3 1 1
Direct
0.3053 0.3177 0.9648
0.7794 0.0272 0.7260
0.7918 0.6641 0.3381
0.5121 0.0846 0.3180
0.0653 0.6314 0.7585

PuGe2P3 | Alexandria via LeMat-Bulk | PBE | relaxed; energy of formation = -0.2588 eV/atom; total DFT energy (no corrections) = -82.7 eV per cell; D(E_F) = 14.21 states/eV per cell
1.0
3.8443 0.0000 0.0000
0.0000 7.3867 2.9496
0.0000 1.1926 8.8130
Pu Ge P
2 4 6
Direct
0.2500 0.7752 0.7128
0.7500 0.2248 0.2872
0.2500 0.3003 0.5025
0.7500 0.6997 0.4975
0.7500 0.1752 0.8744
0.2500 0.8248 0.1256
0.7500 0.0665 0.6564
0.2500 0.9335 0.3436
0.7500 0.6043 0.2755
0.2500 0.3957 0.7245
0.2500 0.4178 0.0149
0.7500 0.5822 0.9851

PuGeP2 | Alexandria via LeMat-Bulk | PBE | relaxed; energy above the most stable polymorph in this dataset = 0.0 kJ/mol of formula units; energy of formation = -0.4583 eV/atom; total DFT energy (no corrections) = -31.6 eV per cell; D(E_F) = 6.74 states/eV per cell
1.0
3.7626 0.0000 0.0000
0.0000 4.2869 0.0000
0.0000 0.0000 4.2869
P Ge Pu
2 1 1
Direct
0.0000 0.0000 0.5000
0.0000 0.5000 0.0000
0.5000 0.5000 0.5000
0.5000 0.0000 0.0000

Pu3GeP | Alexandria via LeMat-Bulk | PBE | relaxed; energy above the most stable polymorph in this dataset = 91.5 kJ/mol of formula units; energy of formation = -0.3459 eV/atom; total DFT energy (no corrections) = -109.5 eV per cell; D(E_F) = 35.94 states/eV per cell
1.0
-5.1537 -0.8972 -2.9766
-1.1699 -5.3767 -2.4389
-5.2084 -4.1306 4.1779
Pu Ge P
6 2 2
Direct
0.2479 0.2479 0.7607
0.7436 0.2479 0.7607
0.7521 0.2564 0.2393
0.2564 0.7521 0.2393
0.7521 0.7521 0.2393
0.2479 0.7436 0.7607
0.1938 0.1938 0.4186
0.8062 0.8062 0.5814
0.3039 0.3039 0.0882
0.6961 0.6961 0.9118

PuGeP2 | Alexandria via LeMat-Bulk | PBE | relaxed; energy above the most stable polymorph in this dataset = 54.8 kJ/mol of formula units; energy of formation = -0.3163 eV/atom; total DFT energy (no corrections) = -31.0 eV per cell; D(E_F) = 9.99 states/eV per cell
1.0
3.9378 0.0000 0.0000
1.9689 3.4103 0.0000
1.9689 1.1368 6.3602
P Ge Pu
2 1 1
Direct
0.2486 0.2486 0.2542
0.7514 0.7514 0.7458
0.0000 0.0000 0.0000
0.5000 0.5000 0.5000